(1)
Entry from Alexandria via LeMat-Bulk: a relaxed LaCdTc crystal (PBE).

Cell and atoms, written as CIF:
```
data_LaCdTc
_chemical_formula_sum 'La4 Cd4 Tc4'
_cell_length_a 7.0416
_cell_length_b 7.0416
_cell_length_c 7.0416
_cell_angle_alpha 90.00
_cell_angle_beta 90.00
_cell_angle_gamma 90.00
_space_group_name_H-M_alt 'F -4 3 m'
_space_group_IT_number 216
_space_group_name_Hall 'F -4 2 3'
loop_
_atom_site_label
_atom_site_fract_x
_atom_site_fract_y
_atom_site_fract_z
La1 0.0000 0.0000 0.0000
Cd1 0.2500 0.2500 0.7500
Tc1 0.2500 0.2500 0.2500
```

- size of the total moment (μB per formula unit) = 2.0
- ρ (g/cm³) = 6.6
- crystal system = cubic
- E_form (eV per atom) = 1.092

=====

(2)
Entry from Alexandria via LeMat-Bulk: a relaxed MgInSnBr5 crystal (PBE).

Cell and atoms, written as CIF:
```
data_MgInSnBr5
_chemical_formula_sum 'Mg4 In4 Sn4 Br20'
_cell_length_a 10.3064
_cell_length_b 11.4277
_cell_length_c 10.7148
_cell_angle_alpha 90.00
_cell_angle_beta 113.48
_cell_angle_gamma 90.00
_space_group_name_H-M_alt 'C 1 2/c 1'
_space_group_IT_number 15
loop_
_space_group_symop_operation_xyz
'x,y,z'
'-x,-y,-z'
'-x,y,-z+1/2'
'x,-y,z+1/2'
'x+1/2,y+1/2,z'
'-x+1/2,-y+1/2,-z'
'-x+1/2,y+1/2,-z+1/2'
'x+1/2,-y+1/2,z+1/2'
loop_
_atom_site_label
_atom_site_fract_x
_atom_site_fract_y
_atom_site_fract_z
Mg1 0.2500 0.2500 0.0000
In1 0.0000 0.0672 0.2500
Sn1 0.0000 0.4954 0.7500
Br1 0.0000 0.2171 0.7500
Br2 0.0557 0.3285 0.0915
Br3 0.2007 0.0363 0.0629
```

- size of the total moment (μB per formula unit) = 0.0
- ρ (g/cm³) = 3.8
- crystal system = monoclinic
- formation energy without anion corrections (eV/f.u.) = -7.56

=====

(3)
Entry from Alexandria via LeMat-Bulk: a relaxed CaInBi4 crystal (PBE).

Cell and atoms, written as CIF:
```
data_CaInBi4
_chemical_formula_sum 'Ca4 In4 Bi16'
_cell_length_a 9.3595
_cell_length_b 9.3595
_cell_length_c 9.3595
_cell_angle_alpha 90.00
_cell_angle_beta 90.00
_cell_angle_gamma 90.00
_space_group_name_H-M_alt 'F -4 3 m'
_space_group_IT_number 216
_space_group_name_Hall 'F -4 2 3'
loop_
_atom_site_label
_atom_site_fract_x
_atom_site_fract_y
_atom_site_fract_z
Ca1 0.0000 0.0000 0.0000
In1 0.2500 0.2500 0.2500
Bi1 0.1241 0.1241 0.6241
```

- size of the total moment (μB per formula unit) = 0.0
- ρ (g/cm³) = 8.0
- crystal system = cubic
- E_form (eV per atom) = -0.073